VASP calculation (PBE-GGA) on crystalline Mn2Tl3SbTe6 at its relaxed geometry.

Space-group type   No. 12
Formation energy without anion corrections   -21 kJ per mole of atoms

Cell lengths 7.3449, 7.3449, 8.2597 Å; angles 98.51, 98.51, 119.99 degrees
Last column: nearest neighbours and their distance in Å.
Positions (direct):
Mn (0.1683, 0.8317, 0.0000)  6 Te 2.83-2.84
Mn (0.8317, 0.1683, 0.0000)  6 Te 2.83-2.84
Tl (0.0000, 0.0000, 0.5000)  6 Te 3.31-3.47
Tl (0.3438, 0.6562, 0.5000)  6 Te 3.35-3.48
Tl (0.6562, 0.3438, 0.5000)  6 Te 3.35-3.48
Sb (0.5000, 0.5000, 0.0000)  6 Te 3.05-3.07
Te (0.0751, 0.4329, 0.7989)  2 Mn 2.83-2.84, 1 Sb 3.07
Te (0.2067, 0.2067, 0.1946)  2 Mn 2.83, 1 Sb 3.05
Te (0.4329, 0.0751, 0.7989)  2 Mn 2.83-2.84, 1 Sb 3.07
Te (0.5671, 0.9249, 0.2011)  2 Mn 2.83-2.84, 1 Sb 3.07
Te (0.7933, 0.7933, 0.8054)  2 Mn 2.83, 1 Sb 3.05
Te (0.9249, 0.5671, 0.2011)  2 Mn 2.83-2.84, 1 Sb 3.07

---

VASP calculation (PBE-GGA) on crystalline Pd4S at its relaxed geometry.

Space-group type   No. 221
Energy relative to the lowest polymorph listed for this composition   253.6 meV per atom
Formation energy without anion corrections   8 kJ per mole of atoms

Cell lengths 4.4497, 4.4497, 4.4497 Å; angles 90.00, 90.00, 90.00 degrees
Last column: nearest neighbours and their distance in Å.
Positions (direct):
Pd (0.0000, 0.0000, 0.0000)  12 Pd 3.15
Pd (0.0000, 0.5000, 0.5000)  2 S 2.22
Pd (0.5000, 0.0000, 0.5000)  2 S 2.22
Pd (0.5000, 0.5000, 0.0000)  2 S 2.22
S (0.5000, 0.5000, 0.5000)  6 Pd 2.22